Entry 1:
A plane-wave DFT calculation with PBE-GGA was carried out for a relaxed structure of Pa4Si4Tc.

The structure belongs to space group I4/m (No. 87); the cell edges are 8.371, 8.371 and 5.718 Å and the angles 90.00°, 90.00° and 90.00°. Symmetry generates all atoms from Pa at (0.080, 0.281, 0.000), Si at (0.086, 0.277, 0.500) and Tc at (0.000, 0.000, 0.500).

The formation energy (no corrections) is -116 kJ/mol of formula units.

Entry 2:
A plane-wave DFT calculation with PBE-GGA was carried out for a relaxed structure of AlH2Ir2.

The structure belongs to space group I4/mmm (No. 139); the cell edges are 2.964, 2.964 and 11.154 Å and the angles 90.00°, 90.00° and 90.00°. Symmetry generates all atoms from Al at (0.000, 0.000, 0.000), H at (0.000, 0.500, 0.250) and Ir at (0.000, 0.000, 0.364).

Its energy above the most stable polymorph in this dataset is 0.0 kJ/mol of atoms.

Entry 3:
A plane-wave DFT calculation with PBE-GGA was carried out for a relaxed structure of WBr2Cl.

The structure belongs to space group Amm2 (No. 38); the cell edges are 3.780, 5.193 and 13.421 Å and the angles 90.00°, 90.00° and 90.00°. Symmetry generates all atoms from W at (0.000, 0.000, 0.000), Br at (0.000, 0.000, 0.529), Br at (0.500, 0.000, 0.135) and Cl at (0.500, 0.000, 0.881).

The formation energy (no corrections) is -77 kJ/mol of formula units. Its energy above the most stable polymorph in this dataset is 5.7 kJ/mol of atoms.

Entry 4:
A plane-wave DFT calculation with PBE-GGA was carried out for a relaxed structure of UCuTe6.

The structure belongs to space group P-1 (No. 2); the cell edges are 4.663, 7.224 and 8.452 Å and the angles 107.29°, 91.41° and 108.63°. Symmetry generates all atoms from U at (0.000, 0.000, 0.000), Cu at (0.000, 0.500, 0.500), Te at (0.113, 0.227, 0.736), Te at (0.232, 0.466, 0.232) and Te at (0.433, 0.883, 0.734).

The formation energy (no corrections) is -109 kJ/mol of formula units.

Entry 5:
A plane-wave DFT calculation with PBE-GGA was carried out for a relaxed structure of NiTePdN2.

The structure belongs to space group P4/mmm (No. 123); the cell edges are 3.694, 3.694 and 5.710 Å and the angles 90.00°, 90.00° and 90.00°. Symmetry generates all atoms from Ni at (0.000, 0.000, 0.000), Te at (0.000, 0.000, 0.500), Pd at (0.500, 0.500, 0.500) and N at (0.000, 0.500, 0.000).

The formation energy (no corrections) is 575 kJ/mol of formula units. Its energy above the most stable polymorph in this dataset is 0.0 kJ/mol of atoms.

Entry 6:
A plane-wave DFT calculation with PBE-GGA was carried out for a relaxed structure of Tb4In3H.

The structure belongs to space group Pmn2_1 (No. 31); the cell edges are 7.057, 10.419 and 6.178 Å and the angles 90.00°, 90.00° and 90.00°. Symmetry generates all atoms from Tb at (0.000, 0.053, 0.000), Tb at (0.000, 0.851, 0.479), Tb at (0.246, 0.383, 0.698), In at (0.000, 0.141, 0.515), In at (0.208, 0.321, 0.199) and H at (0.000, 0.733, 0.191).

Entry 7:
A plane-wave DFT calculation with PBE-GGA was carried out for a relaxed structure of P4C3.

The structure belongs to space group P-43m (No. 215); the cell edges are 4.208, 4.208 and 4.208 Å and the angles 90.00°, 90.00° and 90.00°. Symmetry generates all atoms from P at (0.225, 0.225, 0.775) and C at (0.000, 0.500, 0.500).

The calculated formation energy is 3.55 eV/f.u. Its energy above the most stable polymorph in this dataset is 0.0 kJ/mol of atoms.

Entry 8:
A plane-wave DFT calculation with PBE-GGA was carried out for a relaxed structure of La4Te2CBr.

The structure belongs to space group P2/m (No. 10); the cell edges are 7.631, 4.239 and 7.663 Å and the angles 90.00°, 108.06° and 90.00°. Symmetry generates all atoms from La at (0.203, 0.000, 0.200), La at (0.221, 0.500, 0.787), Te at (0.000, 0.000, 0.500), Te at (0.500, 0.500, 0.500), C at (0.000, 0.500, 0.000) and Br at (0.500, 0.000, 0.000).

The formation energy (no corrections) is -887 kJ/mol of formula units.

Entry 9:
A plane-wave DFT calculation with PBE-GGA was carried out for a relaxed structure of Pm2Pr3Pd4.

The structure belongs to space group C2/m (No. 12); the cell edges are 10.421, 4.521 and 10.065 Å and the angles 90.00°, 93.52° and 90.00°. Symmetry generates all atoms from Pm at (0.175, 0.000, 0.289), Pr at (0.000, 0.500, 0.500), Pr at (0.133, 0.000, 0.896), Pd at (0.076, 0.500, 0.120) and Pd at (0.187, 0.000, 0.585).

The calculated formation energy is -5.35 eV/f.u.

Entry 10:
A plane-wave DFT calculation with PBE-GGA was carried out for a relaxed structure of Th3Si2P.

The structure belongs to space group Immm (No. 71); the cell edges are 4.236, 5.974 and 12.674 Å and the angles 90.00°, 90.00° and 90.00°. Symmetry generates all atoms from Th at (0.000, 0.000, 0.000), Th at (0.000, 0.000, 0.336), Si at (0.000, 0.500, 0.333) and P at (0.000, 0.500, 0.000).

The formation energy (no corrections) is -544 kJ/mol of formula units.

Entry 11:
A plane-wave DFT calculation with PBE-GGA was carried out for a relaxed structure of Zr3BS.

The structure belongs to space group Pm-3m (No. 221); the cell edges are 4.594, 4.594 and 4.594 Å and the angles 90.00°, 90.00° and 90.00°. Symmetry generates all atoms from Zr at (0.000, 0.000, 0.500), B at (0.000, 0.000, 0.000) and S at (0.500, 0.500, 0.500).

The formation energy (no corrections) is -52 kJ/mol of formula units. Its energy above the most stable polymorph in this dataset is 0.0 kJ/mol of atoms.

Entry 12:
A plane-wave DFT calculation with PBE-GGA was carried out for a relaxed structure of TlIn2GaCl6.

The structure belongs to space group R3 (No. 146, hexagonal axes); the cell edges are 7.5051, 7.5051 and 20.1367 Å and the angles 90.00°, 90.00° and 120.00°. Symmetry generates all atoms from Tl at (0.0000, 0.0000, 0.0000), In at (0.0000, 0.0000, 0.2790), In at (0.0000, 0.0000, 0.7932), Ga at (0.0000, 0.0000, 0.4821), Cl at (0.0279, 0.2874, 0.8711) and Cl at (0.0850, 0.7284, 0.3903).

The formation energy (no corrections) is -921 kJ/mol of formula units.

Entry 13:
A plane-wave DFT calculation with PBE-GGA was carried out for a relaxed structure of KHg4Pb4.

The structure belongs to space group I4/mmm (No. 139); the cell edges are 10.964, 10.964 and 4.563 Å and the angles 90.00°, 90.00° and 90.00°. Symmetry generates all atoms from K at (0.000, 0.000, 0.000), Hg at (0.176, 0.176, 0.500) and Pb at (0.000, 0.342, 0.000).

The calculated formation energy is -0.60 eV/f.u.

Entry 14:
A plane-wave DFT calculation with PBE-GGA was carried out for a relaxed structure of TlTcNi2.

The structure belongs to space group P2/m (No. 10); the cell edges are 4.650, 2.798 and 4.861 Å and the angles 90.00°, 109.47° and 90.00°. Symmetry generates all atoms from Tl at (0.000, 0.000, 0.000), Tc at (0.000, 0.500, 0.500), Ni at (0.500, 0.000, 0.500) and Ni at (0.500, 0.500, 0.000).

The calculated formation energy is 2.23 eV/f.u. Its energy above the most stable polymorph in this dataset is 20.2 kJ/mol of atoms.

Entry 15:
A plane-wave DFT calculation with PBE-GGA was carried out for a relaxed structure of Pr12TmCd6.

The structure belongs to space group R-3 (No. 148, hexagonal axes); the cell edges are 11.6446, 11.6446 and 15.0293 Å and the angles 90.00°, 90.00° and 120.00°. Symmetry generates all atoms from Pr at (0.0407, 0.1911, 0.3050), Pr at (0.0593, 0.8413, 0.9096), Tm at (0.0000, 0.0000, 0.5000) and Cd at (0.0383, 0.4459, 0.2056).

The calculated formation energy is -2.09 eV/f.u.

Entry 16:
A plane-wave DFT calculation with PBE-GGA was carried out for a relaxed structure of BeHgW2.

The structure belongs to space group Cmm2 (No. 35); the cell edges are 3.252, 4.545 and 8.550 Å and the angles 90.00°, 90.00° and 90.00°. Symmetry generates all atoms from Be at (0.000, 0.000, 0.000), Hg at (0.000, 0.500, 0.239), W at (0.000, 0.000, 0.535) and W at (0.000, 0.500, 0.788).

The calculated formation energy is 1.77 eV/f.u. Its energy above the most stable polymorph in this dataset is 0.0 kJ/mol of atoms.

Entry 17:
A plane-wave DFT calculation with PBE-GGA was carried out for a relaxed structure of LaHo2Er5Sc.

The structure belongs to space group Cmc2_1 (No. 36); the cell edges are 5.551, 19.596 and 10.308 Å and the angles 90.00°, 90.00° and 90.00°. Symmetry generates all atoms from La at (0.000, 0.085, 0.000), Ho at (0.000, 0.386, 0.283), Ho at (0.000, 0.389, 0.864), Er at (0.000, 0.019, 0.286), Er at (0.000, 0.123, 0.570), Er at (0.000, 0.203, 0.256), Er at (0.000, 0.224, 0.872), Er at (0.000, 0.482, 0.571) and Sc at (0.000, 0.303, 0.563).

The calculated formation energy is 1.65 eV/f.u.

Entry 18:
A plane-wave DFT calculation with PBE-GGA was carried out for a relaxed structure of La4MnAg.

The structure belongs to space group F-43m (No. 216); the cell edges are 9.110, 9.110 and 9.110 Å and the angles 90.00°, 90.00° and 90.00°. Symmetry generates all atoms from La at (0.124, 0.124, 0.124), Mn at (0.250, 0.250, 0.750) and Ag at (0.000, 0.000, 0.500).

The calculated formation energy is 3.59 eV/f.u.

| no. | final energy (eV per atom) |
| --- | --- |
| 1 | -7.916 |
| 2 | -5.809 |
| 3 | -4.735 |
| 4 | -4.420 |
| 5 | -4.961 |
| 6 | -3.862 |
| 7 | -6.538 |
| 8 | -5.761 |
| 9 | -5.551 |
| 10 | -7.358 |
| 11 | -7.397 |
| 12 | -3.150 |
| 13 | -1.970 |
| 14 | -5.515 |
| 15 | -3.653 |
| 16 | -7.040 |
| 17 | -4.620 |
| 18 | -4.691 |